(1)
{"formula": "CsLuMg", "functional": "PBE", "state": "optimized geometry", "de_polymorph_ev_per_atom": 0.242, "crystal_system": "cubic", "cell": [[8.191, 0.000, 0.000], [0.000, 8.191, 0.000], [0.000, 0.000, 8.191]], "species": ["Cs", "Cs", "Cs", "Cs", "Lu", "Lu", "Lu", "Lu", "Mg", "Mg", "Mg", "Mg"], "fractional_positions": [[0.000, 0.000, 0.000], [0.000, 0.500, 0.500], [0.500, 0.000, 0.500], [0.500, 0.500, 0.000], [0.250, 0.250, 0.750], [0.250, 0.750, 0.250], [0.750, 0.250, 0.250], [0.750, 0.750, 0.750], [0.250, 0.250, 0.250], [0.250, 0.750, 0.750], [0.750, 0.250, 0.750], [0.750, 0.750, 0.250]]}



(2)
{"formula": "CsLuMg", "functional": "PBE", "state": "optimized geometry", "de_polymorph_ev_per_atom": 0.000, "crystal_system": "cubic", "cell": [[8.130, 0.000, 0.000], [0.000, 8.130, 0.000], [0.000, 0.000, 8.130]], "species": ["Cs", "Cs", "Cs", "Cs", "Lu", "Lu", "Lu", "Lu", "Mg", "Mg", "Mg", "Mg"], "fractional_positions": [[0.000, 0.000, 0.000], [0.000, 0.500, 0.500], [0.500, 0.000, 0.500], [0.500, 0.500, 0.000], [0.250, 0.250, 0.250], [0.250, 0.750, 0.750], [0.750, 0.250, 0.750], [0.750, 0.750, 0.250], [0.000, 0.000, 0.500], [0.000, 0.500, 0.000], [0.500, 0.000, 0.000], [0.500, 0.500, 0.500]]}



(3)
{"formula": "CsLuMgS3", "functional": "PBE", "state": "optimized geometry", "crystal_system": "monoclinic", "e_tot_ev_per_atom": -4.897, "cell": [[9.216, 0.000, 0.000], [0.000, 4.077, 0.000], [-3.716, 0.000, 9.350]], "species": ["Cs", "Cs", "Lu", "Lu", "Mg", "Mg", "S", "S", "S", "S", "S", "S"], "fractional_positions": [[0.219, 0.250, 0.237], [0.781, 0.750, 0.763], [0.336, 0.750, 0.870], [0.664, 0.250, 0.130], [0.086, 0.250, 0.614], [0.914, 0.750, 0.386], [0.135, 0.250, 0.864], [0.194, 0.750, 0.554], [0.479, 0.750, 0.148], [0.521, 0.250, 0.852], [0.806, 0.250, 0.446], [0.865, 0.750, 0.136]]}



(4)
{"formula": "CsNaLu", "functional": "PBE", "state": "optimized geometry", "de_polymorph_ev_per_atom": 0.116, "crystal_system": "cubic", "cell": [[8.615, 0.000, 0.000], [0.000, 8.615, 0.000], [0.000, 0.000, 8.615]], "species": ["Cs", "Cs", "Cs", "Cs", "Na", "Na", "Na", "Na", "Lu", "Lu", "Lu", "Lu"], "fractional_positions": [[0.000, 0.000, 0.000], [0.000, 0.500, 0.500], [0.500, 0.000, 0.500], [0.500, 0.500, 0.000], [0.250, 0.250, 0.250], [0.250, 0.750, 0.750], [0.750, 0.250, 0.750], [0.750, 0.750, 0.250], [0.250, 0.250, 0.750], [0.250, 0.750, 0.250], [0.750, 0.250, 0.250], [0.750, 0.750, 0.750]]}



(5)
{"formula": "CsNaLu", "functional": "PBE", "state": "optimized geometry", "de_polymorph_ev_per_atom": 0.000, "crystal_system": "cubic", "cell": [[8.645, 0.000, 0.000], [0.000, 8.645, 0.000], [0.000, 0.000, 8.645]], "species": ["Cs", "Cs", "Cs", "Cs", "Na", "Na", "Na", "Na", "Lu", "Lu", "Lu", "Lu"], "fractional_positions": [[0.000, 0.000, 0.000], [0.000, 0.500, 0.500], [0.500, 0.000, 0.500], [0.500, 0.500, 0.000], [0.000, 0.000, 0.500], [0.000, 0.500, 0.000], [0.500, 0.000, 0.000], [0.500, 0.500, 0.500], [0.250, 0.250, 0.250], [0.250, 0.750, 0.750], [0.750, 0.250, 0.750], [0.750, 0.750, 0.250]]}



(6)
{"formula": "CsLuNiSe3", "functional": "PBE", "state": "optimized geometry", "de_polymorph_ev_per_atom": 0.116, "crystal_system": "orthorhombic", "cell": [[10.794, 0.000, 0.000], [0.000, 4.113, 0.000], [0.000, 0.000, 14.994]], "species": ["Cs", "Cs", "Cs", "Cs", "Lu", "Lu", "Lu", "Lu", "Ni", "Ni", "Ni", "Ni", "Se", "Se", "Se", "Se", "Se", "Se", "Se", "Se", "Se", "Se", "Se", "Se"], "fractional_positions": [[0.032, 0.250, 0.158], [0.468, 0.750, 0.658], [0.532, 0.250, 0.342], [0.968, 0.750, 0.842], [0.145, 0.750, 0.438], [0.355, 0.250, 0.938], [0.645, 0.750, 0.062], [0.855, 0.250, 0.562], [0.148, 0.250, 0.636], [0.352, 0.750, 0.136], [0.648, 0.250, 0.864], [0.852, 0.750, 0.364], [0.035, 0.750, 0.611], [0.215, 0.750, 0.007], [0.237, 0.250, 0.776], [0.263, 0.750, 0.276], [0.285, 0.250, 0.507], [0.465, 0.250, 0.111], [0.535, 0.750, 0.889], [0.715, 0.750, 0.493], [0.737, 0.250, 0.724], [0.763, 0.750, 0.224], [0.785, 0.250, 0.993], [0.965, 0.250, 0.389]]}



(7)
{"formula": "CsLuNiSe3", "functional": "PBE", "state": "optimized geometry", "de_polymorph_ev_per_atom": 0.016, "crystal_system": "orthorhombic", "cell": [[2.021, -8.058, 0.000], [2.021, 8.058, 0.000], [0.000, 0.000, 10.625]], "species": ["Cs", "Cs", "Lu", "Lu", "Ni", "Ni", "Se", "Se", "Se", "Se", "Se", "Se"], "fractional_positions": [[0.245, 0.755, 0.750], [0.755, 0.245, 0.250], [0.500, 0.500, 0.000], [0.500, 0.500, 0.500], [0.032, 0.968, 0.250], [0.968, 0.032, 0.750], [0.114, 0.886, 0.062], [0.114, 0.886, 0.438], [0.449, 0.551, 0.250], [0.551, 0.449, 0.750], [0.886, 0.114, 0.562], [0.886, 0.114, 0.938]]}



(8)
{"formula": "CsLuNiSe3", "functional": "PBE", "state": "optimized geometry", "de_polymorph_ev_per_atom": 0.024, "crystal_system": "orthorhombic", "cell": [[10.791, 0.000, 0.000], [0.000, 4.067, 0.000], [0.000, 0.000, 15.343]], "species": ["Cs", "Cs", "Cs", "Cs", "Lu", "Lu", "Lu", "Lu", "Ni", "Ni", "Ni", "Ni", "Se", "Se", "Se", "Se", "Se", "Se", "Se", "Se", "Se", "Se", "Se", "Se"], "fractional_positions": [[0.246, 0.250, 0.012], [0.254, 0.750, 0.512], [0.746, 0.250, 0.488], [0.754, 0.750, 0.988], [0.001, 0.250, 0.748], [0.499, 0.750, 0.248], [0.501, 0.250, 0.752], [0.999, 0.750, 0.252], [0.249, 0.250, 0.291], [0.251, 0.750, 0.791], [0.749, 0.250, 0.209], [0.751, 0.750, 0.709], [0.058, 0.250, 0.371], [0.058, 0.750, 0.867], [0.248, 0.750, 0.206], [0.252, 0.250, 0.706], [0.442, 0.250, 0.367], [0.442, 0.750, 0.871], [0.558, 0.250, 0.129], [0.558, 0.750, 0.633], [0.748, 0.750, 0.294], [0.752, 0.250, 0.794], [0.942, 0.250, 0.133], [0.942, 0.750, 0.629]]}



(9)
{"formula": "CsLuNiSe3", "functional": "PBE", "state": "optimized geometry", "de_polymorph_ev_per_atom": 0.001, "crystal_system": "orthorhombic", "cell": [[16.279, 0.000, 0.000], [0.000, 4.041, 0.000], [0.000, 0.000, 10.827]], "species": ["Cs", "Cs", "Cs", "Cs", "Lu", "Lu", "Lu", "Lu", "Ni", "Ni", "Ni", "Ni", "Se", "Se", "Se", "Se", "Se", "Se", "Se", "Se", "Se", "Se", "Se", "Se"], "fractional_positions": [[0.233, 0.250, 0.022], [0.267, 0.750, 0.522], [0.733, 0.250, 0.478], [0.767, 0.750, 0.978], [0.021, 0.250, 0.348], [0.479, 0.750, 0.848], [0.521, 0.250, 0.152], [0.979, 0.750, 0.652], [0.014, 0.750, 0.090], [0.486, 0.250, 0.590], [0.514, 0.750, 0.410], [0.986, 0.250, 0.910], [0.063, 0.750, 0.887], [0.090, 0.250, 0.580], [0.120, 0.750, 0.247], [0.380, 0.250, 0.747], [0.410, 0.750, 0.080], [0.437, 0.250, 0.387], [0.563, 0.750, 0.613], [0.590, 0.250, 0.920], [0.620, 0.750, 0.253], [0.880, 0.250, 0.753], [0.910, 0.750, 0.420], [0.937, 0.250, 0.113]]}



(10)
{"formula": "CsLuNiSe3", "functional": "PBE", "state": "optimized geometry", "de_polymorph_ev_per_atom": 0.020, "crystal_system": "orthorhombic", "cell": [[10.678, 0.000, 0.000], [0.000, 4.069, 0.000], [0.000, 0.000, 15.696]], "species": ["Cs", "Cs", "Cs", "Cs", "Lu", "Lu", "Lu", "Lu", "Ni", "Ni", "Ni", "Ni", "Se", "Se", "Se", "Se", "Se", "Se", "Se", "Se", "Se", "Se", "Se", "Se"], "fractional_positions": [[0.242, 0.250, 0.009], [0.258, 0.750, 0.509], [0.742, 0.250, 0.491], [0.758, 0.750, 0.991], [0.012, 0.750, 0.252], [0.488, 0.250, 0.752], [0.512, 0.750, 0.248], [0.988, 0.250, 0.748], [0.239, 0.750, 0.783], [0.261, 0.250, 0.283], [0.739, 0.750, 0.717], [0.761, 0.250, 0.217], [0.051, 0.750, 0.865], [0.074, 0.250, 0.367], [0.238, 0.250, 0.699], [0.262, 0.750, 0.199], [0.426, 0.750, 0.867], [0.449, 0.250, 0.365], [0.551, 0.750, 0.635], [0.574, 0.250, 0.133], [0.738, 0.250, 0.801], [0.762, 0.750, 0.301], [0.926, 0.750, 0.633], [0.949, 0.250, 0.135]]}



(11)
{"formula": "CsLuNiSe3", "functional": "PBE", "state": "optimized geometry", "de_polymorph_ev_per_atom": 0.234, "crystal_system": "monoclinic", "cell": [[8.337, -2.107, 0.000], [8.337, 2.107, 0.000], [-1.595, 0.000, 8.977]], "species": ["Cs", "Cs", "Lu", "Lu", "Ni", "Ni", "Se", "Se", "Se", "Se", "Se", "Se"], "fractional_positions": [[0.157, 0.157, 0.064], [0.843, 0.843, 0.936], [0.164, 0.164, 0.573], [0.836, 0.836, 0.427], [0.492, 0.492, 0.705], [0.508, 0.508, 0.295], [0.000, 0.000, 0.500], [0.337, 0.337, 0.636], [0.365, 0.365, 0.241], [0.500, 0.500, 0.000], [0.635, 0.635, 0.759], [0.663, 0.663, 0.364]]}



(12)
{"formula": "CsLuNiSe3", "functional": "PBE", "state": "optimized geometry", "de_polymorph_ev_per_atom": 0.000, "crystal_system": "monoclinic", "cell": [[9.613, 0.000, 0.000], [0.000, 4.051, 0.000], [-3.916, 0.000, 9.283]], "species": ["Cs", "Cs", "Lu", "Lu", "Ni", "Ni", "Se", "Se", "Se", "Se", "Se", "Se"], "fractional_positions": [[0.213, 0.250, 0.248], [0.787, 0.750, 0.752], [0.331, 0.750, 0.862], [0.669, 0.250, 0.138], [0.077, 0.250, 0.596], [0.923, 0.750, 0.404], [0.126, 0.250, 0.850], [0.183, 0.750, 0.550], [0.474, 0.750, 0.159], [0.526, 0.250, 0.841], [0.817, 0.250, 0.450], [0.874, 0.750, 0.150]]}